1.
Computed, not measured: ReHg2Pb after structural relaxation at the PBE level of DFT.

Lattice parameters (Å, degrees): 5.299 5.299 3.068 90.00 90.00 90.00
Fractional positions:
Re (0.000, 0.000, 0.000)
Hg (0.000, 0.500, 0.500)
Hg (0.500, 0.000, 0.500)
Pb (0.500, 0.500, 0.000)

Summary:
space-group type: P4/mmm
formation energy: 0.951 eV per atom
raw total energy: -3.2387 eV/atom

2.
Computed, not measured: Bi2AuCl after structural relaxation at the PBE level of DFT.

Lattice parameters (Å, degrees): 10.492 10.492 10.492 152.94 152.94 38.64
Fractional positions:
Bi (0.085, 0.625, 0.960)
Bi (0.375, 0.335, 0.460)
Bi (0.665, 0.125, 0.040)
Bi (0.875, 0.915, 0.540)
Au (0.000, 0.000, 0.000)
Au (0.750, 0.250, 0.500)
Cl (0.250, 0.750, 0.500)
Cl (0.500, 0.500, 0.000)

Summary:
space-group type: I-42d
formation energy from raw total energies: -7 meV/atom
energy relative to the lowest polymorph listed for this composition: 293 meV per atom
raw total energy: -3.2285 eV/atom

3.
Computed, not measured: K2BaCoOs after structural relaxation at the PBE level of DFT.

Lattice parameters (Å, degrees): 6.630 6.630 4.795 90.00 90.00 90.00
Fractional positions:
K (0.000, 0.500, 0.000)
K (0.500, 0.000, 0.000)
Ba (0.000, 0.000, 0.000)
Co (0.000, 0.000, 0.500)
Os (0.500, 0.500, 0.500)

Summary:
space-group type: P4/mmm
formation energy: 2.103 eV per atom
raw total energy: -2.3881 eV/atom

4.
Computed, not measured: PrEr4Tm15 after structural relaxation at the PBE level of DFT.

Lattice parameters (Å, degrees): 4.953 4.953 24.780 90.00 90.00 90.00
Fractional positions:
Pr (0.000, 0.000, 0.000)
Er (0.000, 0.000, 0.201)
Er (0.000, 0.000, 0.401)
Er (0.000, 0.000, 0.599)
Er (0.000, 0.000, 0.799)
Tm (0.000, 0.500, 0.102)
Tm (0.000, 0.500, 0.301)
Tm (0.000, 0.500, 0.500)
Tm (0.000, 0.500, 0.699)
Tm (0.000, 0.500, 0.898)
Tm (0.500, 0.000, 0.102)
Tm (0.500, 0.000, 0.301)
Tm (0.500, 0.000, 0.500)
Tm (0.500, 0.000, 0.699)
Tm (0.500, 0.000, 0.898)
Tm (0.500, 0.500, 0.000)
Tm (0.500, 0.500, 0.202)
Tm (0.500, 0.500, 0.401)
Tm (0.500, 0.500, 0.599)
Tm (0.500, 0.500, 0.798)

Summary:
space-group type: P4/mmm
formation energy: 0.028 eV per atom
raw total energy: -4.4775 eV/atom

5.
Computed, not measured: BaLiHg14 after structural relaxation at the PBE level of DFT.

Lattice parameters (Å, degrees): 10.108 10.108 10.201 112.14 112.14 75.86
Fractional positions:
Ba (0.166, 0.834, 0.750)
Ba (0.834, 0.166, 0.250)
Li (0.000, 0.500, 0.000)
Li (0.500, 0.000, 0.500)
Hg (0.043, 0.390, 0.601)
Hg (0.073, 0.317, 0.178)
Hg (0.089, 0.877, 0.390)
Hg (0.123, 0.911, 0.110)
Hg (0.169, 0.238, 0.905)
Hg (0.238, 0.169, 0.405)
Hg (0.252, 0.566, 0.274)
Hg (0.260, 0.536, 0.918)
Hg (0.317, 0.073, 0.678)
Hg (0.333, 0.483, 0.591)
Hg (0.390, 0.043, 0.101)
Hg (0.434, 0.748, 0.226)
Hg (0.464, 0.740, 0.582)
Hg (0.483, 0.333, 0.091)
Hg (0.517, 0.667, 0.909)
Hg (0.536, 0.260, 0.418)
Hg (0.566, 0.252, 0.774)
Hg (0.610, 0.957, 0.899)
Hg (0.667, 0.517, 0.409)
Hg (0.683, 0.927, 0.322)
Hg (0.740, 0.464, 0.082)
Hg (0.748, 0.434, 0.726)
Hg (0.762, 0.831, 0.595)
Hg (0.831, 0.762, 0.095)
Hg (0.877, 0.089, 0.890)
Hg (0.911, 0.123, 0.610)
Hg (0.927, 0.683, 0.822)
Hg (0.957, 0.610, 0.399)

Summary:
space-group type: C2/c
formation energy: -0.151 eV per atom
raw total energy: -0.6552 eV/atom

6.
Computed, not measured: TcSbCl2 after structural relaxation at the PBE level of DFT.

Lattice parameters (Å, degrees): 4.418 4.418 4.552 90.00 90.00 90.00
Fractional positions:
Tc (0.000, 0.000, 0.000)
Sb (0.500, 0.500, 0.000)
Cl (0.000, 0.500, 0.500)
Cl (0.500, 0.000, 0.500)

Summary:
space-group type: P4/mmm
formation energy from raw total energies: 642 meV/atom
energy relative to the lowest polymorph listed for this composition: 866 meV per atom
raw total energy: -3.9035 eV/atom

7.
Computed, not measured: YBeCu2 after structural relaxation at the PBE level of DFT.

Lattice parameters (Å, degrees): 3.160 3.473 5.999 90.00 103.54 90.00
Fractional positions:
Y (0.000, 0.000, 0.000)
Be (0.000, 0.000, 0.500)
Cu (0.372, 0.500, 0.681)
Cu (0.628, 0.500, 0.319)

Summary:
space-group type: P2/m
formation energy: 0.067 eV per atom
raw total energy: -4.5284 eV/atom

8.
Computed, not measured: LiTl2Os after structural relaxation at the PBE level of DFT.

Lattice parameters (Å, degrees): 3.101 3.101 9.287 90.00 90.00 116.34
Fractional positions:
Li (0.000, 0.000, 0.000)
Tl (0.500, 0.500, 0.252)
Tl (0.500, 0.500, 0.748)
Os (0.000, 0.000, 0.500)

Summary:
space-group type: Cmmm
formation energy: 0.569 eV per atom
energy relative to the lowest polymorph listed for this composition: 125 meV per atom
raw total energy: -3.9001 eV/atom

9.
Computed, not measured: AlHgGe2 after structural relaxation at the PBE level of DFT.

Lattice parameters (Å, degrees): 4.874 4.874 4.874 60.00 60.00 60.00
Fractional positions:
Al (0.000, 0.000, 0.000)
Hg (0.500, 0.500, 0.500)
Ge (0.250, 0.250, 0.250)
Ge (0.750, 0.750, 0.750)

Summary:
space-group type: Fm-3m
formation energy: 0.336 eV per atom
energy relative to the lowest polymorph listed for this composition: 97 meV per atom
raw total energy: -2.9834 eV/atom

10.
Computed, not measured: Ca2Zn6Ir after structural relaxation at the PBE level of DFT.

Lattice parameters (Å, degrees): 5.701 5.701 5.881 90.00 90.00 120.00
Fractional positions:
Ca (0.333, 0.667, 0.358)
Ca (0.667, 0.333, 0.642)
Zn (0.175, 0.350, 0.830)
Zn (0.175, 0.825, 0.830)
Zn (0.350, 0.175, 0.170)
Zn (0.650, 0.825, 0.830)
Zn (0.825, 0.175, 0.170)
Zn (0.825, 0.650, 0.170)
Ir (0.000, 0.000, 0.500)

Summary:
space-group type: P-3m1
formation energy: -0.308 eV per atom
raw total energy: -2.5869 eV/atom

11.
Computed, not measured: Tb6Ge2Te3Pb after structural relaxation at the PBE level of DFT.

Lattice parameters (Å, degrees): 9.728 9.728 8.760 103.41 103.41 25.54
Fractional positions:
Tb (0.010, 0.010, 0.253)
Tb (0.326, 0.326, 0.433)
Tb (0.332, 0.332, 0.892)
Tb (0.668, 0.668, 0.108)
Tb (0.674, 0.674, 0.567)
Tb (0.990, 0.990, 0.747)
Ge (0.168, 0.168, 0.336)
Ge (0.832, 0.832, 0.664)
Te (0.164, 0.164, 0.832)
Te (0.500, 0.500, 0.500)
Te (0.836, 0.836, 0.168)
Pb (0.500, 0.500, 0.000)

Summary:
space-group type: C2/m
formation energy from raw total energies: -1112 meV/atom
raw total energy: -5.2908 eV/atom

12.
Computed, not measured: HgGe2Br6 after structural relaxation at the PBE level of DFT.

Lattice parameters (Å, degrees): 7.204 8.064 12.871 90.00 122.52 90.00
Fractional positions:
Hg (0.000, 0.000, 0.000)
Hg (0.000, 0.500, 0.500)
Ge (0.323, 0.157, 0.831)
Ge (0.323, 0.343, 0.331)
Ge (0.677, 0.657, 0.669)
Ge (0.677, 0.843, 0.169)
Br (0.104, 0.214, 0.417)
Br (0.104, 0.286, 0.917)
Br (0.307, 0.694, 0.466)
Br (0.307, 0.806, 0.966)
Br (0.361, 0.061, 0.250)
Br (0.361, 0.439, 0.750)
Br (0.639, 0.561, 0.250)
Br (0.639, 0.939, 0.750)
Br (0.693, 0.194, 0.034)
Br (0.693, 0.306, 0.534)
Br (0.896, 0.714, 0.083)
Br (0.896, 0.786, 0.583)

Summary:
space-group type: P2_1/c
formation energy from raw total energies: -490 meV/atom
energy relative to the lowest polymorph listed for this composition: 0 meV per atom
raw total energy: -2.6645 eV/atom